Entry 1:
The following is a GGA-PBE calculation of a relaxed CsPaMnN3 crystal, from Alexandria.

Unit cell a=8.472 b=3.580 c=8.563 alpha=90.00 beta=109.92 gamma=90.00
Atoms (fractional coordinates):
Cs: 0.204 0.250 0.227
Cs: 0.796 0.750 0.773
Pa: 0.341 0.750 0.844
Pa: 0.659 0.250 0.156
Mn: 0.073 0.250 0.595
Mn: 0.927 0.750 0.405
N: 0.145 0.750 0.561
N: 0.166 0.250 0.827
N: 0.482 0.750 0.122
N: 0.518 0.250 0.878
N: 0.834 0.750 0.173
N: 0.855 0.250 0.439

**Formation energy from raw total energies**: -0.85 eV per atom
**Raw total energy**: -8.271 eV/atom
**Calculated volume**: 20.4 Å³/atom
**ρ**: 6.27 g cm⁻³

Entry 2:
The following is a GGA-PBE calculation of a relaxed Cs4Pa3MnN8 crystal, from Alexandria.

Unit cell a=7.052 b=7.052 c=8.135 alpha=115.64 beta=115.64 gamma=59.90
Atoms (fractional coordinates):
Cs: 0.000 0.000 0.000
Cs: 0.000 0.500 0.000
Cs: 0.500 0.000 0.000
Cs: 0.500 0.500 0.000
Pa: 0.000 0.000 0.500
Pa: 0.000 0.500 0.500
Pa: 0.500 0.000 0.500
Mn: 0.500 0.500 0.500
N: 0.216 0.216 0.648
N: 0.226 0.710 0.645
N: 0.290 0.290 0.354
N: 0.290 0.774 0.355
N: 0.710 0.226 0.645
N: 0.710 0.710 0.646
N: 0.774 0.290 0.355
N: 0.784 0.784 0.352

**Formation energy from raw total energies**: -0.63 eV per atom
**Raw total energy**: -7.357 eV/atom
**Calculated volume**: 19.0 Å³/atom
**ρ**: 7.62 g cm⁻³

Entry 3:
The following is a GGA-PBE calculation of a relaxed CsPuMnN4 crystal, from Alexandria.

Unit cell a=5.709 b=5.654 c=8.298 alpha=90.00 beta=106.84 gamma=90.00
Atoms (fractional coordinates):
Cs: 0.218 0.250 0.430
Cs: 0.782 0.750 0.570
Pu: 0.273 0.250 0.953
Pu: 0.727 0.750 0.047
Mn: 0.264 0.750 0.142
Mn: 0.736 0.250 0.858
N: 0.059 0.750 0.950
N: 0.067 0.750 0.264
N: 0.460 0.513 0.157
N: 0.460 0.987 0.157
N: 0.540 0.013 0.843
N: 0.540 0.487 0.843
N: 0.933 0.250 0.736
N: 0.941 0.250 0.050

**Formation energy from raw total energies**: -0.41 eV per atom
**Raw total energy**: -8.648 eV/atom
**Calculated volume**: 18.3 Å³/atom
**ρ**: 6.32 g cm⁻³

Entry 4:
The following is a GGA-PBE calculation of a relaxed CsMnSN2 crystal, from Alexandria.

Unit cell a=4.195 b=4.195 c=6.845 alpha=90.00 beta=90.00 gamma=90.00
Atoms (fractional coordinates):
Cs: 0.000 0.000 0.000
Mn: 0.500 0.500 0.500
S: 0.000 0.000 0.500
N: 0.000 0.500 0.000
N: 0.500 0.000 0.000

**Formation energy from raw total energies**: 2.37 eV per atom
**Raw total energy**: -3.795 eV/atom
**Calculated volume**: 24.1 Å³/atom
**ρ**: 3.42 g cm⁻³

Entry 5:
The following is a GGA-PBE calculation of a relaxed Cs2ScMnN crystal, from Alexandria.

Unit cell a=6.266 b=6.266 c=4.686 alpha=90.00 beta=90.00 gamma=90.00
Atoms (fractional coordinates):
Cs: 0.000 0.500 0.000
Cs: 0.500 0.000 0.000
Sc: 0.000 0.000 0.500
Mn: 0.000 0.000 0.000
N: 0.500 0.500 0.500

**Formation energy from raw total energies**: 1.60 eV per atom
**Raw total energy**: -3.506 eV/atom
**Calculated volume**: 36.8 Å³/atom
**ρ**: 3.43 g cm⁻³

Entry 6:
The following is a GGA-PBE calculation of a relaxed CsMnSe2N crystal, from Alexandria.

Unit cell a=5.923 b=5.923 c=4.447 alpha=90.00 beta=90.00 gamma=90.00
Atoms (fractional coordinates):
Cs: 0.000 0.000 0.000
Mn: 0.500 0.500 0.500
Se: 0.000 0.500 0.000
Se: 0.500 0.000 0.000
N: 0.000 0.000 0.500

**Formation energy from raw total energies**: 1.84 eV per atom
**Raw total energy**: -3.220 eV/atom
**Offset from the most stable computed form**: 1821.4 meV/atom
**Calculated volume**: 31.2 Å³/atom
**ρ**: 3.83 g cm⁻³